Here is a geometry-optimized KLiCoF6 structure from the Alexandria database. Energies are from GGA+U.

Cell: 5.235 5.235 9.895 Å, 90.00 90.00 90.00°
Sites, in units of the cell vectors:
F 0.660 0.660 0.978
F 0.160 0.840 0.478
F 0.317 0.317 0.711
F 0.817 0.183 0.211
F 0.183 0.817 0.211
F 0.840 0.160 0.478
F 0.259 0.741 0.828
F 0.759 0.759 0.328
F 0.340 0.340 0.978
F 0.741 0.259 0.828
F 0.241 0.241 0.328
F 0.683 0.683 0.711
Li 0.000 0.000 0.640
Li 0.500 0.500 0.140
Co 0.000 0.000 0.336
Co 0.500 0.500 0.836
K 0.000 0.000 0.992
K 0.500 0.500 0.492

Calculated total energy, eV/atom: -4.31
Size of the total moment, μB/f.u.: 1.0
V, Å³/atom: 15.1